1.
First-principles (GGA-PBE) data for LiCo2W after structural relaxation, as listed in Alexandria via LeMat-Bulk.

Geometry as CIF:
```
data_LiCo2W
_chemical_formula_sum 'Li1 Co2 W1'
_symmetry_space_group_name_H-M 'P 1'
_symmetry_Int_Tables_number 1
_cell_length_a 4.1808
_cell_length_b 2.8147
_cell_length_c 4.1807
_cell_angle_alpha 90.00
_cell_angle_beta 90.00
_cell_angle_gamma 90.00
loop_
_symmetry_equiv_pos_as_xyz
'x,y,z'
loop_
_atom_site_label
_atom_site_type_symbol
_atom_site_fract_x
_atom_site_fract_y
_atom_site_fract_z
Li1 Li 0.0000 0.6249 0.3750
Co1 Co 0.0000 0.1250 0.8751
Co2 Co 0.5000 0.1250 0.3749
W1 W 0.5000 0.6251 0.8749
```

Values from the calculation:
formation energy from the elements: 0.20 eV per atom
symmetry: No. 123
DFT total energy: -7.066 eV per atom

2.
First-principles (GGA-PBE) data for LiCoW2 after structural relaxation, as listed in Alexandria via LeMat-Bulk.

Geometry as CIF:
```
data_LiCoW2
_chemical_formula_sum 'Li1 Co1 W2'
_symmetry_space_group_name_H-M 'P 1'
_symmetry_Int_Tables_number 1
_cell_length_a 2.6456
_cell_length_b 3.8653
_cell_length_c 5.3778
_cell_angle_alpha 90.00
_cell_angle_beta 90.00
_cell_angle_gamma 90.00
loop_
_symmetry_equiv_pos_as_xyz
'x,y,z'
loop_
_atom_site_label
_atom_site_type_symbol
_atom_site_fract_x
_atom_site_fract_y
_atom_site_fract_z
W1 W 0.5000 0.5000 0.2666
W2 W 0.0000 0.0000 0.9776
Co1 Co 0.0000 0.0000 0.5189
Li1 Li 0.5000 0.5000 0.7369
```

Values from the calculation:
formation energy from the elements: 0.41 eV per atom
polymorph energy (0 for the lowest one): 115 meV/atom
symmetry: No. 25
DFT total energy: -8.326 eV per atom